Entry from Alexandria via LeMat-Bulk: MoIrOs2 at its PBEsol-relaxed geometry (SCAN).

Unit cell a=3.8461 b=3.8461 c=3.8442 alpha=90.00 beta=90.00 gamma=90.00
Space group P4/mmm (No. 123)
Symmetry-distinct sites (fractional):
Mo  0.0000  0.0000  0.0000
Ir  0.5000  0.5000  0.0000
Os  0.0000  0.5000  0.5000

Computed properties:
- Calculated volume: 57 Å³/cell
- Theoretical density: 19525 kg/m3
- Energy above the lowest structure with this stoichiometry: 0 meV/atom
- Energy relative to the elements: -151 meV/atom

=====

Entry from Alexandria via LeMat-Bulk: CaMg2Ag at its PBEsol-relaxed geometry (SCAN).

Unit cell a=3.5328 b=3.5328 c=7.5365 alpha=90.00 beta=90.00 gamma=90.00
Space group P4mm (No. 99)
Symmetry-distinct sites (fractional):
Ca  0.0000  0.0000  0.0000
Mg  0.0000  0.0000  0.5597
Mg  0.5000  0.5000  0.3150
Ag  0.5000  0.5000  0.7397

Computed properties:
- Calculated volume: 94 Å³/cell
- Theoretical density: 3470 kg/m3
- Energy relative to the elements: -171 meV/atom

=====

Entry from Alexandria via LeMat-Bulk: Ta4MnPt at its PBEsol-relaxed geometry (SCAN).

Unit cell a=7.4755 b=7.4755 c=7.4755 alpha=90.00 beta=90.00 gamma=90.00
Space group F-43m (No. 216)
Symmetry-distinct sites (fractional):
Ta  0.1243  0.1243  0.3757
Mn  0.2500  0.2500  0.7500
Pt  0.0000  0.0000  0.0000

Computed properties:
- Calculated volume: 418 Å³/cell
- Theoretical density: 15483 kg/m3
- Energy relative to the elements: 180 meV/atom

=====

Entry from Alexandria via LeMat-Bulk: CsSc3Cd at its PBEsol-relaxed geometry (SCAN).

Unit cell a=5.4689 b=5.4689 c=5.4689 alpha=90.00 beta=90.00 gamma=90.00
Space group Pm-3m (No. 221)
Symmetry-distinct sites (fractional):
Cs  0.0000  0.0000  0.0000
Sc  0.0000  0.5000  0.5000
Cd  0.5000  0.5000  0.5000

Computed properties:
- Calculated volume: 164 Å³/cell
- Theoretical density: 3860 kg/m3
- Energy above the lowest structure with this stoichiometry: 0 meV/atom
- Energy relative to the elements: 597 meV/atom